(1)
DFT (PBE-GGA) results for a geometry-optimized CuAgO3 structure.

Output
- Space-group type: No. 221
- Total energy: -3.621 eV/atom
- Theoretical density: 5.8 g cm⁻³
- Total moment: 1.4 μB/f.u.
- Formation energy without anion corrections: 0.743 eV per atom

Unit cell a=3.970 b=3.970 c=3.970 alpha=90.00 beta=90.00 gamma=90.00
Last column: magnetic moment on the atom in μB.
Atoms (fractional coordinates):
O1 0.500 0.000 0.000  0.38
O2 0.000 0.000 0.500  0.14
O3 0.000 0.500 0.000  0.35
Cu1 0.500 0.500 0.500  0.36
Ag1 0.000 0.000 0.000  0.05

***

(2)
DFT (PBE-GGA) results for a geometry-optimized Mn5VFe6 structure.

Output
- Space-group type: No. 65
- Total energy: -8.749 eV/atom
- Theoretical density: 8.1 g cm⁻³
- Total moment: 17.7 μB/f.u.

Unit cell a=4.019 b=5.620 c=6.348 alpha=90.00 beta=71.54 gamma=90.00
Last column: magnetic moment on the atom in μB.
Atoms (fractional coordinates):
Fe1 0.832 0.253 0.335  1.67
Fe2 0.500 0.748 0.000  1.60
Fe3 0.168 0.253 0.665  1.67
Fe4 0.500 0.252 0.000  1.60
Fe5 0.168 0.747 0.665  1.67
Fe6 0.832 0.747 0.335  1.67
V1 0.000 0.000 0.000  -0.83
Mn1 0.332 0.000 0.336  1.93
Mn2 0.000 0.500 0.000  1.81
Mn3 0.664 0.500 0.671  1.53
Mn4 0.668 0.000 0.664  1.93
Mn5 0.336 0.500 0.329  1.53